ScGa2Pb: relaxed, PBE.

Lattice parameters (Å, degrees): 4.421 4.421 4.303 90.00 90.00 90.00
Space group P4/mmm (No. 123)
One atom of each set of equivalent atoms:
Sc: 0.000 0.000 0.000
Ga: 0.000 0.500 0.500
Pb: 0.500 0.500 0.000

Values from the calculation:
ρ: 7.733 g/cm³
ΔH_f (0 K): -1.05 eV/f.u.
Total DFT energy (no corrections): -4.286 eV/atom


Sc2GaPb: relaxed, PBE.

Lattice parameters (Å, degrees): 3.4660 3.4660 26.6398 90.00 90.00 120.00
Space group R-3m (No. 166, hexagonal axes)
One atom of each set of equivalent atoms:
Sc: 0.0000 0.0000 0.2407
Ga: 0.0000 0.0000 0.5000
Pb: 0.0000 0.0000 0.0000

Values from the calculation:
ρ: 6.593 g/cm³
ΔH_f (0 K): -1.50 eV/f.u.
Total DFT energy (no corrections): -5.225 eV/atom


ScGa4Pb: relaxed, PBE.

Lattice parameters (Å, degrees): 7.846 7.846 7.846 90.00 90.00 90.00
Space group F-43m (No. 216)
One atom of each set of equivalent atoms:
Sc: 0.000 0.000 0.000
Ga: 0.126 0.126 0.626
Pb: 0.250 0.250 0.250

Values from the calculation:
ρ: 7.302 g/cm³
ΔH_f (0 K): -0.87 eV/f.u.
Total DFT energy (no corrections): -3.836 eV/atom


ScGa3Pb: relaxed, PBE.

Lattice parameters (Å, degrees): 5.353 5.353 5.353 90.00 90.00 90.00
Space group Pm-3m (No. 221)
One atom of each set of equivalent atoms:
Sc: 0.000 0.000 0.000
Ga: 0.000 0.500 0.500
Pb: 0.500 0.500 0.500

Values from the calculation:
ρ: 4.994 g/cm³
ΔH_f (0 K): 3.70 eV/f.u.
Total DFT energy (no corrections): -3.085 eV/atom


ScGaPb2: relaxed, PBE.

Lattice parameters (Å, degrees): 3.4759 3.4759 31.9245 90.00 90.00 120.00
Space group R-3m (No. 166, hexagonal axes)
One atom of each set of equivalent atoms:
Sc: 0.0000 0.0000 0.0000
Ga: 0.0000 0.0000 0.5000
Pb: 0.0000 0.0000 0.0932

Values from the calculation:
ρ: 7.890 g/cm³
ΔH_f (0 K): 0.77 eV/f.u.
Total DFT energy (no corrections): -4.001 eV/atom


Sc2GaPb: relaxed, PBE.

Lattice parameters (Å, degrees): 4.308 22.361 3.859 90.00 90.00 90.00
Space group Cmcm (No. 63)
One atom of each set of equivalent atoms:
Sc: 0.000 0.062 0.250
Sc: 0.000 0.337 0.250
Ga: 0.000 0.462 0.250
Pb: 0.000 0.198 0.250

Values from the calculation:
ρ: 6.555 g/cm³
ΔH_f (0 K): -1.55 eV/f.u.
Total DFT energy (no corrections): -5.236 eV/atom